Here is a geometry-optimized Rb2NiCl5 structure from the Open Quantum Materials Database. Energies are from PBE-GGA.

Cell: 6.9265 6.9265 4.8627 Å, 90.00 90.00 90.00°
Sites, in units of the cell vectors:
Cl  0.2294  0.2294  0.0000
Cl  0.7706  0.2294  0.0000
Cl  0.0000  0.0000  0.5000
Cl  0.2294  0.7706  0.0000
Cl  0.7706  0.7706  0.0000
Rb  0.0000  0.5000  0.5000
Rb  0.5000  0.0000  0.5000
Ni  0.0000  0.0000  0.0000

Summary:
Uncorrected energy   -26.80 eV/cell
Space-group type   P4/mmm, No. 123
Energy above the most stable polymorph in this dataset   0 meV/atom